(1)
BSe3I | PBEsol | relaxed

Calculated values
Total DFT energy (no corrections), eV per formula unit: -11.84
Magnetization, μB/f.u.: 0.00

Cell: 5.3230 5.3230 5.3230 Å, 90.00 90.00 90.00°
Fractional positions:
B 0.5000 0.5000 0.5000
I 0.0000 0.0000 0.0000
Se 0.5000 0.0000 0.0000
Se 0.0000 0.5000 0.0000
Se 0.0000 0.0000 0.5000

---

(2)
BSeI3 | PBEsol | relaxed

Calculated values
Total DFT energy (no corrections), eV per formula unit: -11.99
Magnetization, μB/f.u.: 0.00

Cell: 4.9876 4.9876 4.9876 Å, 90.00 90.00 90.00°
Fractional positions:
I 0.0000 0.5000 0.0000
I 0.0000 0.0000 0.5000
I 0.5000 0.0000 0.0000
B 0.0000 0.0000 0.0000
Se 0.5000 0.5000 0.5000

---

- Among the records above, which one has the highest total DFT energy (no corrections)?
  BSe3I

---

- Number 1 is which compound?
  BSe3I

---

- Which formula does entry 2 have?
  BSeI3

---

- What is the magnetization in the first record?
  0.00 μB/f.u.